Record 1
Compound: NaNdTeS
Source: Alexandria via LeMat-Bulk
Functional: PBE-GGA
Structure: relaxed

Cell and atoms, written as POSCAR:
```
NaNdTeS
1.0
2.1628 1.2487 7.1805
-2.1628 1.2487 7.1805
0.0000 -2.4974 7.1805
Na Nd Te S
1 1 1 1
Direct
0.0000 0.0000 0.0000
0.5165 0.5165 0.5165
0.7591 0.7591 0.7591
0.2489 0.2489 0.2489
```

Record 2
Compound: Sc4AlIn
Source: Alexandria via LeMat-Bulk
Functional: PBE-GGA
Structure: relaxed

Cell and atoms, written as POSCAR:
```
Sc4AlIn
1.0
0.0000 4.1068 4.1068
4.1068 0.0000 4.1068
4.1068 4.1068 0.0000
Sc Al In
4 1 1
Direct
0.1246 0.1246 0.1246
0.1246 0.1246 0.6262
0.1246 0.6262 0.1246
0.6262 0.1246 0.1246
0.7500 0.7500 0.7500
0.5000 0.5000 0.5000
```

energy relative to the elements	80.3	kJ/mol of formula units

Record 3
Compound: Nb2GaAs2
Source: Alexandria via LeMat-Bulk
Functional: PBE-GGA
Structure: relaxed

Cell and atoms, written as POSCAR:
```
Nb2GaAs2
1.0
7.3045 0.0000 0.0000
0.0000 7.3045 0.0000
0.0000 0.0000 3.3040
Nb Ga As
4 2 4
Direct
0.1545 0.3455 0.0000
0.3455 0.8455 0.0000
0.6545 0.1545 0.0000
0.8455 0.6545 0.0000
0.0000 0.0000 0.5000
0.5000 0.5000 0.5000
0.1401 0.6401 0.5000
0.3599 0.1401 0.5000
0.6401 0.8599 0.5000
0.8599 0.3599 0.5000
```

energy relative to the elements	-102.5	kJ/mol of formula units

Record 4
Compound: FeIrAu2
Source: Alexandria via LeMat-Bulk
Functional: PBE-GGA
Structure: relaxed

Cell and atoms, written as POSCAR:
```
FeIrAu2
1.0
3.9216 0.0000 0.0000
0.0000 3.9216 0.0000
0.0000 0.0000 4.1307
Fe Ir Au
1 1 2
Direct
0.0000 0.0000 0.0000
0.5000 0.5000 0.0000
0.0000 0.5000 0.5000
0.5000 0.0000 0.5000
```

energy relative to the elements	96.4	kJ/mol of formula units

Number 1: VASP energy -4.872 eV/atom. Number 2: VASP energy -5.162 eV/atom. Number 3: VASP energy -6.705 eV/atom. Number 4: VASP energy -5.720 eV/atom.